[1]
Entry from OQMD: a relaxed NaUAgS3 crystal (PBE-GGA).

Lattice parameters (Å, degrees): 4.0483 13.0354 10.5159 90.00 90.00 90.00
Space group Cmcm (No. 63)
Unique sites:
Na 0.0000 0.2389 0.2500 x4
U 0.0000 0.5000 0.0000 x4
Ag 0.0000 0.0486 0.7500 x4
S 0.0000 0.1350 0.5422 x8
S 0.0000 0.4260 0.7500 x4

* DFT total energy: -5.657 eV per atom

[2]
Entry from OQMD: a relaxed NaAg3WS4 crystal (PBE-GGA).

Lattice parameters (Å, degrees): 6.1276 6.1276 6.1276 90.00 90.00 90.00
Space group P-43m (No. 215)
Unique sites:
Na 0.0000 0.0000 0.0000 x1
Ag 0.0000 0.5000 0.5000 x3
W 0.5000 0.5000 0.5000 x1
S 0.2781 0.2781 0.2781 x4

* DFT total energy: -4.588 eV per atom

[3]
Entry from OQMD: a relaxed NaZrAg3S4 crystal (PBE-GGA).

Lattice parameters (Å, degrees): 6.1406 6.1406 6.1406 90.00 90.00 90.00
Space group P-43m (No. 215)
Unique sites:
Na 0.0000 0.0000 0.0000 x1
Zr 0.5000 0.5000 0.5000 x1
Ag 0.0000 0.5000 0.5000 x3
S 0.2694 0.2694 0.2694 x4

* DFT total energy: -4.643 eV per atom
* ΔE to the lowest computed polymorph: 0 meV per atom